Record 1
A plane-wave DFT calculation with PBE-GGA was carried out for a relaxed structure of Li2Mn3Br8.

Lattice parameters (Å, degrees): 7.964 8.822 11.256 90.00 90.00 116.83
Element x y z (fractional)
Li: 0.629 0.258 0.111
Li: 0.871 0.742 0.611
Li: 0.129 0.258 0.389
Li: 0.371 0.742 0.889
Mn: 0.617 0.735 0.250
Mn: 0.500 0.000 0.500
Mn: 0.883 0.265 0.750
Mn: 0.117 0.735 0.250
Mn: 0.000 0.000 0.000
Mn: 0.383 0.265 0.750
Br: 0.644 0.759 0.015
Br: 0.615 0.759 0.485
Br: 0.005 0.009 0.756
Br: 0.744 0.489 0.759
Br: 0.495 0.991 0.256
Br: 0.756 0.511 0.259
Br: 0.144 0.759 0.485
Br: 0.885 0.241 0.985
Br: 0.115 0.759 0.015
Br: 0.856 0.241 0.515
Br: 0.995 0.991 0.244
Br: 0.505 0.009 0.744
Br: 0.256 0.511 0.241
Br: 0.244 0.489 0.741
Br: 0.385 0.241 0.515
Br: 0.356 0.241 0.985

- calculated density (kg/m3) = 3849
- E (eV for the cell shown) = -115.1
- crystal system = orthorhombic
- spin magnetization (μB per cell) = 30.00
- space group = Cmce

***

Record 2
A plane-wave DFT calculation with PBE-GGA was carried out for a relaxed structure of Li2MnBr4.

Lattice parameters (Å, degrees): 5.378 5.378 7.773 69.76 69.76 90.00
Element x y z (fractional)
Mn: 0.000 0.000 0.000
Br: 0.809 0.809 0.381
Br: 0.191 0.191 0.619
Br: 0.000 0.500 0.000
Br: 0.500 0.000 0.000
Li: 0.630 0.630 0.739
Li: 0.370 0.370 0.261

- calculated density (kg/m3) = 3290
- E (eV for the cell shown) = -26.7
- crystal system = tetragonal
- excess energy over the best structure of this formula in the dataset (meV per atom) = 199
- spin magnetization (μB per cell) = 5.00
- space group = I4/mmm

***

Record 3
A plane-wave DFT calculation with PBE-GGA was carried out for a relaxed structure of Li4MnBr.

Lattice parameters (Å, degrees): 5.658 5.658 5.658 60.00 60.00 60.00
Element x y z (fractional)
Li: 0.871 0.376 0.376
Li: 0.376 0.376 0.871
Li: 0.376 0.871 0.376
Li: 0.376 0.376 0.376
Mn: 0.750 0.750 0.750
Br: 0.000 0.000 0.000

- calculated density (kg/m3) = 2109
- E (eV for the cell shown) = -17.2
- crystal system = cubic
- spin magnetization (μB per cell) = 5.64
- space group = F-43m

***

Record 4
A plane-wave DFT calculation with PBE-GGA was carried out for a relaxed structure of LiMnBr5.

Lattice parameters (Å, degrees): 8.149 8.149 9.614 72.46 72.46 50.64
Element x y z (fractional)
Li: 0.329 0.671 0.250
Li: 0.671 0.329 0.750
Mn: 0.000 0.000 0.000
Mn: 0.000 0.000 0.500
Br: 0.110 0.643 0.120
Br: 0.112 0.642 0.507
Br: 0.643 0.110 0.620
Br: 0.858 0.142 0.250
Br: 0.358 0.888 0.993
Br: 0.642 0.112 0.007
Br: 0.142 0.858 0.750
Br: 0.357 0.890 0.380
Br: 0.888 0.358 0.493
Br: 0.890 0.357 0.880

- calculated density (kg/m3) = 3293
- E (eV for the cell shown) = -49.3
- crystal system = monoclinic
- spin magnetization (μB per cell) = 6.18
- space group = C2/c

***

Record 5
A plane-wave DFT calculation with PBE-GGA was carried out for a relaxed structure of Li2MnBr.

Lattice parameters (Å, degrees): 4.577 4.577 3.485 90.00 90.00 90.14
Element x y z (fractional)
Br: 0.000 0.500 0.500
Li: 0.000 0.000 0.000
Li: 0.500 0.500 0.000
Mn: 0.500 0.000 0.500

- calculated density (kg/m3) = 3383
- E (eV for the cell shown) = -14.9
- crystal system = orthorhombic
- excess energy over the best structure of this formula in the dataset (meV per atom) = 159
- spin magnetization (μB per cell) = 4.13
- space group = Cmmm

***

Record 6
A plane-wave DFT calculation with PBE-GGA was carried out for a relaxed structure of Li2MnBr4.

Lattice parameters (Å, degrees): 6.042 6.042 7.143 115.02 115.02 90.00
Element x y z (fractional)
Li: 0.750 0.250 0.500
Li: 0.250 0.750 0.500
Mn: 0.500 0.500 0.000
Br: 0.867 0.385 0.251
Br: 0.385 0.867 0.251
Br: 0.615 0.615 0.749
Br: 0.133 0.133 0.749

- calculated density (kg/m3) = 3087
- E (eV for the cell shown) = -28.1
- crystal system = tetragonal
- excess energy over the best structure of this formula in the dataset (meV per atom) = 0
- spin magnetization (μB per cell) = 5.00
- space group = I-42m

***

Record 7
A plane-wave DFT calculation with PBE-GGA was carried out for a relaxed structure of LiMnBr3.

Lattice parameters (Å, degrees): 4.005 6.768 11.479 92.87 90.00 90.00
Element x y z (fractional)
Li: 0.750 0.975 0.151
Li: 0.250 0.025 0.849
Mn: 0.750 0.577 0.740
Mn: 0.250 0.423 0.260
Br: 0.750 0.778 0.929
Br: 0.250 0.222 0.071
Br: 0.750 0.289 0.368
Br: 0.250 0.711 0.632
Br: 0.750 0.215 0.748
Br: 0.250 0.785 0.252

- calculated density (kg/m3) = 3223
- E (eV for the cell shown) = -42.7
- crystal system = monoclinic
- excess energy over the best structure of this formula in the dataset (meV per atom) = 0
- spin magnetization (μB per cell) = 10.00
- space group = P2_1/m

***

Record 8
A plane-wave DFT calculation with PBE-GGA was carried out for a relaxed structure of Li2MnBr.

Lattice parameters (Å, degrees): 4.899 4.899 4.899 60.00 60.00 60.00
Element x y z (fractional)
Mn: 0.000 0.000 0.000
Br: 0.500 0.500 0.500
Li: 0.250 0.250 0.250
Li: 0.750 0.750 0.750

- calculated density (kg/m3) = 2971
- E (eV for the cell shown) = -14.1
- crystal system = cubic
- excess energy over the best structure of this formula in the dataset (meV per atom) = 363
- spin magnetization (μB per cell) = 4.19
- space group = Fm-3m

***

Record 9
A plane-wave DFT calculation with PBE-GGA was carried out for a relaxed structure of LiMn3Br.

Lattice parameters (Å, degrees): 4.574 4.574 4.574 90.00 90.00 90.00
Element x y z (fractional)
Mn: 0.000 0.500 0.000
Mn: 0.000 0.000 0.500
Mn: 0.500 0.000 0.000
Br: 0.000 0.000 0.000
Li: 0.500 0.500 0.500

- calculated density (kg/m3) = 4367
- E (eV for the cell shown) = -26.2
- crystal system = cubic
- excess energy over the best structure of this formula in the dataset (meV per atom) = 0
- spin magnetization (μB per cell) = 9.18
- space group = Pm-3m

***

Record 10
A plane-wave DFT calculation with PBE-GGA was carried out for a relaxed structure of Li3MnBr.

Lattice parameters (Å, degrees): 5.108 5.108 5.108 90.00 90.00 90.00
Element x y z (fractional)
Mn: 0.000 0.000 0.000
Br: 0.500 0.500 0.500
Li: 0.000 0.500 0.000
Li: 0.000 0.000 0.500
Li: 0.500 0.000 0.000

- calculated density (kg/m3) = 1940
- E (eV for the cell shown) = -14.5
- crystal system = cubic
- excess energy over the best structure of this formula in the dataset (meV per atom) = 399
- spin magnetization (μB per cell) = 4.13
- space group = Pm-3m

***

Record 11
A plane-wave DFT calculation with PBE-GGA was carried out for a relaxed structure of LiMnBr4.

Lattice parameters (Å, degrees): 6.973 6.973 6.497 122.45 122.45 90.00
Element x y z (fractional)
Li: 0.750 0.250 0.500
Mn: 0.500 0.500 0.000
Br: 0.398 0.847 0.200
Br: 0.802 0.352 0.200
Br: 0.153 0.198 0.800
Br: 0.648 0.602 0.800

- calculated density (kg/m3) = 3079
- E (eV for the cell shown) = -23.2
- crystal system = tetragonal
- excess energy over the best structure of this formula in the dataset (meV per atom) = 41
- spin magnetization (μB per cell) = 4.00
- space group = I-4

***

Record 12
A plane-wave DFT calculation with PBE-GGA was carried out for a relaxed structure of LiMn3Br.

Lattice parameters (Å, degrees): 4.595 4.595 4.595 90.00 90.00 90.00
Element x y z (fractional)
Mn: 0.000 0.500 0.000
Mn: 0.000 0.000 0.500
Mn: 0.500 0.000 0.000
Br: 0.500 0.500 0.500
Li: 0.000 0.000 0.000

- calculated density (kg/m3) = 4308
- E (eV for the cell shown) = -26.1
- crystal system = cubic
- excess energy over the best structure of this formula in the dataset (meV per atom) = 21
- spin magnetization (μB per cell) = 12.29
- space group = Pm-3m

***

Record 13
A plane-wave DFT calculation with PBE-GGA was carried out for a relaxed structure of LiMnBr3.

Lattice parameters (Å, degrees): 5.299 5.299 5.299 90.00 90.00 90.00
Element x y z (fractional)
Mn: 0.000 0.000 0.000
Br: 0.000 0.500 0.000
Br: 0.000 0.000 0.500
Br: 0.500 0.000 0.000
Li: 0.500 0.500 0.500

- calculated density (kg/m3) = 3366
- E (eV for the cell shown) = -20.1
- crystal system = cubic
- excess energy over the best structure of this formula in the dataset (meV per atom) = 250
- spin magnetization (μB per cell) = 5.00
- space group = Pm-3m

***

Record 14
A plane-wave DFT calculation with PBE-GGA was carried out for a relaxed structure of LiMnBr4.

Lattice parameters (Å, degrees): 3.843 6.904 6.537 91.97 90.00 90.00
Element x y z (fractional)
Li: 0.000 0.000 0.000
Mn: 0.500 0.000 0.500
Br: 0.000 0.216 0.670
Br: 0.500 0.792 0.794
Br: 0.500 0.208 0.206
Br: 0.000 0.784 0.330

- calculated density (kg/m3) = 3654
- E (eV for the cell shown) = -23.4
- crystal system = monoclinic
- excess energy over the best structure of this formula in the dataset (meV per atom) = 0
- spin magnetization (μB per cell) = 4.00
- space group = P2/m

***

Record 15
A plane-wave DFT calculation with PBE-GGA was carried out for a relaxed structure of Li3MnBr6.

Lattice parameters (Å, degrees): 8.036 8.036 8.036 93.40 93.40 93.40
Element x y z (fractional)
Li: 0.421 0.879 0.794
Li: 0.879 0.794 0.421
Li: 0.206 0.579 0.121
Li: 0.794 0.421 0.879
Li: 0.121 0.206 0.579
Li: 0.579 0.121 0.206
Mn: 0.000 0.000 0.000
Mn: 0.500 0.500 0.500
Br: 0.307 0.917 0.097
Br: 0.083 0.903 0.693
Br: 0.556 0.805 0.478
Br: 0.903 0.693 0.083
Br: 0.478 0.556 0.805
Br: 0.195 0.522 0.444
Br: 0.805 0.478 0.556
Br: 0.522 0.444 0.195
Br: 0.097 0.307 0.917
Br: 0.444 0.195 0.522
Br: 0.917 0.097 0.307
Br: 0.693 0.083 0.903

- calculated density (kg/m3) = 3572
- E (eV for the cell shown) = -72.5
- crystal system = trigonal
- excess energy over the best structure of this formula in the dataset (meV per atom) = 2
- spin magnetization (μB per cell) = 8.00
- space group = R-3

***

Record 16
A plane-wave DFT calculation with PBE-GGA was carried out for a relaxed structure of Li2MnBr.

Lattice parameters (Å, degrees): 7.367 7.367 6.137 53.11 53.11 90.00
Element x y z (fractional)
Mn: 0.500 0.500 0.000
Mn: 0.250 0.750 0.500
Br: 0.000 0.000 0.000
Br: 0.750 0.250 0.500
Li: 0.671 0.125 0.250
Li: 0.079 0.625 0.250
Li: 0.375 0.329 0.750
Li: 0.875 0.921 0.750

- calculated density (kg/m3) = 2806
- E (eV for the cell shown) = -29.5
- crystal system = tetragonal
- excess energy over the best structure of this formula in the dataset (meV per atom) = 194
- spin magnetization (μB per cell) = 8.02
- space group = I-42d

***

Record 17
A plane-wave DFT calculation with PBE-GGA was carried out for a relaxed structure of Li3MnBr6.

Lattice parameters (Å, degrees): 6.599 7.496 10.442 90.00 96.88 90.00
Element x y z (fractional)
Li: 0.459 0.878 0.836
Li: 0.500 0.500 0.000
Li: 0.541 0.122 0.164
Li: 0.959 0.622 0.336
Li: 0.000 0.000 0.500
Li: 0.041 0.378 0.664
Mn: 0.500 0.500 0.500
Mn: 0.000 0.000 0.000
Br: 0.682 0.169 0.933
Br: 0.674 0.225 0.572
Br: 0.635 0.449 0.245
Br: 0.365 0.551 0.755
Br: 0.326 0.775 0.428
Br: 0.318 0.831 0.067
Br: 0.182 0.331 0.433
Br: 0.174 0.275 0.072
Br: 0.135 0.051 0.745
Br: 0.865 0.949 0.255
Br: 0.826 0.725 0.928
Br: 0.818 0.669 0.567

- calculated density (kg/m3) = 3596
- E (eV for the cell shown) = -72.5
- crystal system = monoclinic
- excess energy over the best structure of this formula in the dataset (meV per atom) = 0
- spin magnetization (μB per cell) = 8.00
- space group = P2_1/c

***

Record 18
A plane-wave DFT calculation with PBE-GGA was carried out for a relaxed structure of LiMn4Br.

Lattice parameters (Å, degrees): 5.443 5.443 5.443 60.00 60.00 60.00
Element x y z (fractional)
Li: 0.000 0.000 0.000
Mn: 0.881 0.373 0.373
Mn: 0.373 0.373 0.881
Mn: 0.373 0.881 0.373
Mn: 0.373 0.373 0.373
Br: 0.750 0.750 0.750

- calculated density (kg/m3) = 4465
- E (eV for the cell shown) = -36.2
- crystal system = cubic
- spin magnetization (μB per cell) = 15.97
- space group = F-43m

***

Record 19
A plane-wave DFT calculation with PBE-GGA was carried out for a relaxed structure of Li2MnBr.

Lattice parameters (Å, degrees): 6.005 6.005 6.005 143.01 143.01 53.31
Element x y z (fractional)
Br: 0.750 0.250 0.500
Li: 0.000 0.000 0.000
Li: 0.250 0.750 0.500
Mn: 0.500 0.500 0.000

- calculated density (kg/m3) = 3170
- E (eV for the cell shown) = -14.9
- crystal system = tetragonal
- excess energy over the best structure of this formula in the dataset (meV per atom) = 148
- spin magnetization (μB per cell) = 4.01
- space group = I-4m2

***

Record 20
A plane-wave DFT calculation with PBE-GGA was carried out for a relaxed structure of LiMnBr.

Lattice parameters (Å, degrees): 6.810 6.417 3.411 81.54 68.76 29.70
Element x y z (fractional)
Br: 0.993 0.993 0.007
Li: 0.345 0.345 0.655
Mn: 0.662 0.662 0.338

- calculated density (kg/m3) = 3672
- E (eV for the cell shown) = -12.9
- crystal system = orthorhombic
- excess energy over the best structure of this formula in the dataset (meV per atom) = 39
- spin magnetization (μB per cell) = 4.49
- space group = Fmm2

***

Record 21
A plane-wave DFT calculation with PBE-GGA was carried out for a relaxed structure of Li2MnBr6.

Lattice parameters (Å, degrees): 6.543 7.226 10.572 90.00 86.36 90.00
Element x y z (fractional)
Li: 0.016 0.368 0.852
Li: 0.484 0.868 0.648
Li: 0.516 0.132 0.352
Li: 0.984 0.632 0.148
Mn: 0.500 0.500 0.000
Mn: 0.000 0.000 0.500
Br: 0.869 0.959 0.285
Br: 0.830 0.713 0.570
Br: 0.810 0.678 0.933
Br: 0.690 0.178 0.567
Br: 0.670 0.213 0.930
Br: 0.631 0.459 0.215
Br: 0.131 0.041 0.715
Br: 0.170 0.287 0.430
Br: 0.190 0.322 0.067
Br: 0.310 0.822 0.433
Br: 0.330 0.787 0.070
Br: 0.369 0.541 0.785

- calculated density (kg/m3) = 3650
- E (eV for the cell shown) = -63.2
- crystal system = monoclinic
- spin magnetization (μB per cell) = 6.04
- space group = P2_1/c

***

Record 22
A plane-wave DFT calculation with PBE-GGA was carried out for a relaxed structure of Li2MnBr.

Lattice parameters (Å, degrees): 8.483 8.483 8.483 23.05 23.05 23.05
Element x y z (fractional)
Br: 0.750 0.750 0.750
Li: 0.015 0.015 0.015
Li: 0.485 0.485 0.485
Mn: 0.250 0.250 0.250

- calculated density (kg/m3) = 3007
- E (eV for the cell shown) = -15.5
- crystal system = trigonal
- excess energy over the best structure of this formula in the dataset (meV per atom) = 0
- spin magnetization (μB per cell) = 4.25
- space group = R-3m

***

Record 23
A plane-wave DFT calculation with PBE-GGA was carried out for a relaxed structure of LiMnBr6.

Lattice parameters (Å, degrees): 6.598 6.597 6.842 61.16 61.18 60.00
Element x y z (fractional)
Li: 0.500 0.500 0.500
Mn: 0.000 0.000 0.000
Br: 0.064 0.396 0.757
Br: 0.783 0.064 0.757
Br: 0.604 0.217 0.243
Br: 0.217 0.936 0.243
Br: 0.936 0.604 0.243
Br: 0.396 0.783 0.757

- calculated density (kg/m3) = 4196
- E (eV for the cell shown) = -25.8
- crystal system = trigonal
- excess energy over the best structure of this formula in the dataset (meV per atom) = 41
- spin magnetization (μB per cell) = 2.06
- space group = R-3

***

Record 24
A plane-wave DFT calculation with PBE-GGA was carried out for a relaxed structure of LiMnBr.

Lattice parameters (Å, degrees): 6.640 6.640 6.640 150.17 150.17 42.70
Element x y z (fractional)
Br: 0.931 0.931 0.000
Li: 0.363 0.363 0.000
Mn: 0.706 0.706 0.000

- calculated density (kg/m3) = 3258
- E (eV for the cell shown) = -12.9
- crystal system = tetragonal
- excess energy over the best structure of this formula in the dataset (meV per atom) = 50
- spin magnetization (μB per cell) = 4.70
- space group = I4mm